First-principles (PBE with a Hubbard U) data for crystalline FeO at its relaxed geometry, as listed in the Alexandria database.

Lattice parameters (Å, degrees): 7.4693 5.8057 5.6900 81.04 50.16 48.81
Closest atoms and distances in Å follow each position.
Sites, in units of the cell vectors:
Fe (0.0192, 0.7308, 0.0192)  4 O 2.01-2.08
Fe (0.2692, 0.9808, 0.2692)  4 O 2.01-2.08
Fe (0.7308, 0.0192, 0.7308)  4 O 2.01-2.08
Fe (0.9808, 0.2692, 0.9808)  4 O 2.01-2.08
O (0.0090, 0.0090, 0.7410)  4 Fe 2.01-2.08
O (0.2590, 0.2590, 0.9910)  4 Fe 2.01-2.08
O (0.7410, 0.7410, 0.0090)  4 Fe 2.01-2.08
O (0.9910, 0.9910, 0.2590)  4 Fe 2.01-2.08

Output
**Magnetization**: 4.0 μB/f.u.
**E_tot**: -52.34 eV for the cell shown